Below is a relaxed structure of CaIn4CuPd2, with properties calculated at the PBE-GGA level.

Unit cell a=9.7985 b=9.7985 c=9.7985 alpha=27.11 beta=27.11 gamma=27.11
Closest atoms and distances in Å follow each position.
Atoms (fractional coordinates):
Ca1 0.0000 0.0000 0.0000  6 In 3.24
In1 0.1323 0.1323 0.1323  4 Pd 2.82-2.91, 3 Cu 2.82
In2 0.3993 0.3993 0.3993  3 Pd 2.80, 1 Cu 2.85
In3 0.6007 0.6007 0.6007  3 Pd 2.80, 1 Cu 2.85
In4 0.8677 0.8677 0.8677  4 Pd 2.82-2.91, 3 Cu 2.82
Cu1 0.5000 0.5000 0.5000  8 In 2.82-2.85
Pd1 0.2352 0.2352 0.2352  7 In 2.80-2.91
Pd2 0.7648 0.7648 0.7648  7 In 2.80-2.91

Crystal system: trigonal
DFT formation energy in eV/atom: -0.337

=====

Below is a relaxed structure of Ca2InCu5Pd2, with properties calculated at the PBE-GGA level.

Unit cell a=9.5062 b=9.5062 c=3.8994 alpha=90.00 beta=90.00 gamma=90.00
Closest atoms and distances in Å follow each position.
Atoms (fractional coordinates):
Ca1 0.1735 0.3265 0.0000  3 Pd 2.72-2.87, 2 Cu 3.04
Ca2 0.3265 0.8265 0.0000  3 Pd 2.72-2.87, 2 Cu 3.04
Ca3 0.6735 0.1735 0.0000  3 Pd 2.72-2.87, 2 Cu 3.04
Ca4 0.8265 0.6735 0.0000  3 Pd 2.72-2.87, 2 Cu 3.04
In1 0.0000 0.0000 0.0000  8 Cu 2.80
In2 0.5000 0.5000 0.0000  8 Cu 2.80
Cu1 0.0000 0.5000 0.5000  4 Pd 2.57, 4 Cu 2.88
Cu2 0.0584 0.7968 0.5000  2 Pd 2.62, 2 In 2.80, 3 Cu 2.84-2.88
Cu3 0.2032 0.0584 0.5000  2 Pd 2.62, 2 In 2.80, 3 Cu 2.84-2.88
Cu4 0.2968 0.5584 0.5000  2 Pd 2.62, 2 In 2.80, 3 Cu 2.84-2.88
Cu5 0.4416 0.2968 0.5000  2 Pd 2.62, 2 In 2.80, 3 Cu 2.84-2.88
Cu6 0.5000 0.0000 0.5000  4 Pd 2.57, 4 Cu 2.88
Cu7 0.5584 0.7032 0.5000  2 Pd 2.62, 2 In 2.80, 3 Cu 2.84-2.88
Cu8 0.7032 0.4416 0.5000  2 Pd 2.62, 2 In 2.80, 3 Cu 2.84-2.88
Cu9 0.7968 0.9416 0.5000  2 Pd 2.62, 2 In 2.80, 3 Cu 2.84-2.88
Cu10 0.9416 0.2032 0.5000  2 Pd 2.62, 2 In 2.80, 3 Cu 2.84-2.88
Pd1 0.1245 0.6245 0.0000  6 Cu 2.57-2.62, 3 Ca 2.72-2.87
Pd2 0.3755 0.1245 0.0000  6 Cu 2.57-2.62, 3 Ca 2.72-2.87
Pd3 0.6245 0.8755 0.0000  6 Cu 2.57-2.62, 3 Ca 2.72-2.87
Pd4 0.8755 0.3755 0.0000  6 Cu 2.57-2.62, 3 Ca 2.72-2.87

Crystal system: tetragonal
DFT formation energy in eV/atom: -0.226

=====

Below is a relaxed structure of Ca2InCu2Pd5, with properties calculated at the PBE-GGA level.

Unit cell a=9.5571 b=9.5571 c=3.9106 alpha=90.00 beta=90.00 gamma=90.00
Closest atoms and distances in Å follow each position.
Atoms (fractional coordinates):
Ca1 0.1739 0.3261 0.0000  3 Cu 2.75-2.88, 2 Pd 3.06
Ca2 0.3261 0.8261 0.0000  3 Cu 2.75-2.88, 2 Pd 3.06
Ca3 0.6739 0.1739 0.0000  3 Cu 2.75-2.88, 2 Pd 3.06
Ca4 0.8261 0.6739 0.0000  3 Cu 2.75-2.88, 2 Pd 3.06
In1 0.0000 0.0000 0.0000  8 Pd 2.86
In2 0.5000 0.5000 0.0000  8 Pd 2.86
Cu1 0.1228 0.6228 0.0000  6 Pd 2.56-2.59, 1 Ca 2.75
Cu2 0.3772 0.1228 0.0000  6 Pd 2.56-2.59, 1 Ca 2.75
Cu3 0.6228 0.8772 0.0000  6 Pd 2.56-2.59, 1 Ca 2.75
Cu4 0.8772 0.3772 0.0000  6 Pd 2.56-2.59, 1 Ca 2.75
Pd1 0.0000 0.5000 0.5000  4 Cu 2.56
Pd2 0.0685 0.7928 0.5000  2 Cu 2.59, 2 In 2.86, 1 Pd 2.87
Pd3 0.2072 0.0685 0.5000  2 Cu 2.59, 2 In 2.86, 1 Pd 2.87
Pd4 0.2928 0.5685 0.5000  2 Cu 2.59, 2 In 2.86, 1 Pd 2.87
Pd5 0.4315 0.2928 0.5000  2 Cu 2.59, 2 In 2.86, 1 Pd 2.87
Pd6 0.5000 0.0000 0.5000  4 Cu 2.56
Pd7 0.5685 0.7072 0.5000  2 Cu 2.59, 2 In 2.86, 1 Pd 2.87
Pd8 0.7072 0.4315 0.5000  2 Cu 2.59, 2 In 2.86, 1 Pd 2.87
Pd9 0.7928 0.9315 0.5000  2 Cu 2.59, 2 In 2.86, 1 Pd 2.87
Pd10 0.9315 0.2072 0.5000  2 Cu 2.59, 2 In 2.86, 1 Pd 2.87

Crystal system: tetragonal
DFT formation energy in eV/atom: -0.542

=====

Below is a relaxed structure of CaPrInCu, with properties calculated at the PBE-GGA level.

Unit cell a=5.3151 b=5.3151 c=5.3151 alpha=60.00 beta=60.00 gamma=60.00
Closest atoms and distances in Å follow each position.
Atoms (fractional coordinates):
Ca1 0.0000 0.0000 0.0000  4 In 3.25, 4 Cu 3.25
Pr1 0.5000 0.5000 0.5000  4 In 3.25, 4 Cu 3.25
In1 0.7500 0.7500 0.7500  4 Pr 3.25, 4 Ca 3.25
Cu1 0.2500 0.2500 0.2500  4 Pr 3.25, 4 Ca 3.25

Crystal system: cubic
DFT formation energy in eV/atom: -0.272

=====

Below is a relaxed structure of CaInCu2Pt, with properties calculated at the PBE-GGA level.

Unit cell a=5.0158 b=5.0158 c=5.1210 alpha=90.00 beta=90.00 gamma=90.00
Closest atoms and distances in Å follow each position.
Atoms (fractional coordinates):
Ca1 0.0000 0.0000 0.0000  4 Cu 2.51, 2 Pt 2.56
In1 0.5000 0.5000 0.5000  4 Pt 3.55, 8 Cu 3.58
Cu1 0.0000 0.5000 0.0000  2 Ca 2.51
Cu2 0.5000 0.0000 0.0000  2 Ca 2.51
Pt1 0.0000 0.0000 0.5000  2 Ca 2.56

Crystal system: tetragonal
DFT formation energy in eV/atom: 0.929

=====

Below is a relaxed structure of Ca2In6CuRh, with properties calculated at the PBE-GGA level.

Unit cell a=7.2395 b=7.2395 c=7.2395 alpha=60.00 beta=60.00 gamma=60.00
Closest atoms and distances in Å follow each position.
Atoms (fractional coordinates):
Ca1 0.2500 0.2500 0.2500  12 In 3.62
Ca2 0.7500 0.7500 0.7500  12 In 3.62
In1 0.2458 0.2458 0.7542  1 Cu 2.52, 1 Rh 2.60
In2 0.2458 0.7542 0.2458  1 Cu 2.52, 1 Rh 2.60
In3 0.2458 0.7542 0.7542  1 Cu 2.52, 1 Rh 2.60
In4 0.7542 0.2458 0.2458  1 Cu 2.52, 1 Rh 2.60
In5 0.7542 0.2458 0.7542  1 Cu 2.52, 1 Rh 2.60
In6 0.7542 0.7542 0.2458  1 Cu 2.52, 1 Rh 2.60
Cu1 0.0000 0.0000 0.0000  6 In 2.52
Rh1 0.5000 0.5000 0.5000  6 In 2.60

Crystal system: cubic
DFT formation energy in eV/atom: -0.150

=====

Below is a relaxed structure of Ca2InCuS, with properties calculated at the PBE-GGA level.

Unit cell a=5.9620 b=5.9620 c=5.0923 alpha=90.00 beta=90.00 gamma=90.00
Closest atoms and distances in Å follow each position.
Atoms (fractional coordinates):
Ca1 0.0000 0.5000 0.0000  2 In 2.98
Ca2 0.5000 0.0000 0.0000  2 In 2.98
In1 0.0000 0.0000 0.0000  2 S 2.55
Cu1 0.5000 0.5000 0.5000  8 Ca 3.92, 4 S 4.22
S1 0.0000 0.0000 0.5000  2 In 2.55

Crystal system: tetragonal
Uncorrected formation energy in meV per atom: 323

=====

Below is a relaxed structure of CaSmInCu, with properties calculated at the PBE-GGA level.

Unit cell a=5.2565 b=5.2565 c=5.2565 alpha=60.00 beta=60.00 gamma=60.00
Closest atoms and distances in Å follow each position.
Atoms (fractional coordinates):
Ca1 0.0000 0.0000 0.0000  4 In 3.22, 4 Cu 3.22
Sm1 0.5000 0.5000 0.5000  4 In 3.22, 4 Cu 3.22
In1 0.7500 0.7500 0.7500  4 Ca 3.22, 4 Sm 3.22
Cu1 0.2500 0.2500 0.2500  4 Ca 3.22, 4 Sm 3.22

Crystal system: cubic
DFT formation energy in eV/atom: -0.273

=====

no.,spin magnetization (Bohr magnetons per cell)
1,0.0
2,0.0
3,0.0
4,0.0
5,0.0
6,0.0
7,0.0
8,0.0